1.
Computed, not measured: Ni2Ag2Ru after structural relaxation at the GGA-PBE level of DFT.

Lattice parameters (Å, degrees): 7.3705 7.3705 2.7529 90.00 90.00 90.00
Last column: nearest neighbours and their distance in Å.
Positions (direct):
Ni 0.1694 0.3306 0.0000  6 Ag 2.50-2.62, 2 Ni 2.75
Ni 0.3306 0.8306 0.0000  6 Ag 2.50-2.62, 2 Ni 2.75
Ni 0.6694 0.1694 0.0000  6 Ag 2.50-2.62, 2 Ni 2.75
Ni 0.8306 0.6694 0.0000  6 Ag 2.50-2.62, 2 Ni 2.75
Ag 0.1307 0.6307 0.5000  6 Ni 2.50-2.62, 3 Ag 2.72-2.75
Ag 0.3693 0.1307 0.5000  6 Ni 2.50-2.62, 3 Ag 2.72-2.75
Ag 0.6307 0.8693 0.5000  6 Ni 2.50-2.62, 3 Ag 2.72-2.75
Ag 0.8693 0.3693 0.5000  6 Ni 2.50-2.62, 3 Ag 2.72-2.75
Ru 0.0000 0.0000 0.5000  2 Ru 2.75, 4 Ag 2.89, 8 Ni 3.06
Ru 0.5000 0.5000 0.5000  2 Ru 2.75, 4 Ag 2.89, 8 Ni 3.06

DOS(E_F)	15.0	states/eV/cell
formation energy from the elements	0.6687	eV per atom
distance to the lowest polymorph of the same formula	160.5	meV per atom

2.
Computed, not measured: CdCo2TcIr after structural relaxation at the GGA-PBE level of DFT.

Lattice parameters (Å, degrees): 4.5946 4.5946 4.6803 90.00 90.00 90.00
Last column: nearest neighbours and their distance in Å.
Positions (direct):
Cd 0.0000 0.0000 0.0000  4 Tc 3.25, 8 Co 3.28
Co 0.0000 0.5000 0.5000  2 Ir 2.30
Co 0.5000 0.0000 0.5000  2 Ir 2.30
Tc 0.5000 0.5000 0.0000  2 Ir 2.34
Ir 0.5000 0.5000 0.5000  4 Co 2.30, 2 Tc 2.34

DOS(E_F)	8.0	states/eV/cell
formation energy from the elements	1.2707	eV per atom

3.
Computed, not measured: Ce4Tl2Cd after structural relaxation at the GGA-PBE level of DFT.

Lattice parameters (Å, degrees): 5.9782 5.9782 12.6069 90.00 90.00 90.00
Last column: nearest neighbours and their distance in Å.
Positions (direct):
Ce 0.0000 0.5000 0.0000  2 Cd 2.99, 2 Ce 3.15
Ce 0.0000 0.5000 0.2500  2 Ce 3.15, 4 Tl 3.36
Ce 0.0000 0.5000 0.5000  2 Cd 2.99, 2 Ce 3.15
Ce 0.0000 0.5000 0.7500  2 Ce 3.15, 4 Tl 3.36
Ce 0.5000 0.0000 0.0000  2 Cd 2.99, 2 Ce 3.15
Ce 0.5000 0.0000 0.2500  2 Ce 3.15, 4 Tl 3.36
Ce 0.5000 0.0000 0.5000  2 Cd 2.99, 2 Ce 3.15
Ce 0.5000 0.0000 0.7500  2 Ce 3.15, 4 Tl 3.36
Tl 0.0000 0.0000 0.1281  1 Tl 3.23, 8 Ce 3.36-3.40
Tl 0.0000 0.0000 0.8719  1 Tl 3.23, 8 Ce 3.36-3.40
Tl 0.5000 0.5000 0.3719  1 Tl 3.23, 8 Ce 3.36-3.40
Tl 0.5000 0.5000 0.6281  1 Tl 3.23, 8 Ce 3.36-3.40
Cd 0.0000 0.0000 0.5000  4 Ce 2.99
Cd 0.5000 0.5000 0.0000  4 Ce 2.99

DOS(E_F)	58.1	states/eV/cell
formation energy from the elements	0.1926	eV per atom
distance to the lowest polymorph of the same formula	265.7	meV per atom

4.
Computed, not measured: ZrHgRu after structural relaxation at the GGA-PBE level of DFT.

Lattice parameters (Å, degrees): 6.4505 6.4505 6.4505 90.00 90.00 90.00
Last column: nearest neighbours and their distance in Å.
Positions (direct):
Zr 0.0000 0.0000 0.0000  4 Hg 2.79, 4 Ru 2.79
Zr 0.0000 0.5000 0.5000  4 Hg 2.79, 4 Ru 2.79
Zr 0.5000 0.0000 0.5000  4 Hg 2.79, 4 Ru 2.79
Zr 0.5000 0.5000 0.0000  4 Hg 2.79, 4 Ru 2.79
Hg 0.2500 0.2500 0.2500  4 Zr 2.79
Hg 0.2500 0.7500 0.7500  4 Zr 2.79
Hg 0.7500 0.2500 0.7500  4 Zr 2.79
Hg 0.7500 0.7500 0.2500  4 Zr 2.79
Ru 0.2500 0.2500 0.7500  4 Zr 2.79
Ru 0.2500 0.7500 0.2500  4 Zr 2.79
Ru 0.7500 0.2500 0.2500  4 Zr 2.79
Ru 0.7500 0.7500 0.7500  4 Zr 2.79

DOS(E_F)	4.3	states/eV/cell
formation energy from the elements	0.4288	eV per atom
distance to the lowest polymorph of the same formula	653.5	meV per atom

5.
Computed, not measured: In5Sn3Hg12 after structural relaxation at the GGA-PBE level of DFT.

Lattice parameters (Å, degrees): 14.9300 14.9300 14.9300 109.47 109.47 109.47
Last column: nearest neighbours and their distance in Å.
Positions (direct):
In 0.0000 0.0000 0.0000  6 Hg 3.00
In 0.0000 0.0000 0.5000  6 Hg 3.00
In 0.0000 0.5000 0.0000  6 Hg 3.00
In 0.0000 0.5000 0.5000  6 Hg 3.00
In 0.1250 0.7500 0.8750  4 Hg 2.86
In 0.1250 0.8750 0.2500  4 Hg 2.86
In 0.2500 0.1250 0.8750  4 Hg 2.86
In 0.2500 0.6250 0.3750  4 Hg 2.86
In 0.3750 0.2500 0.6250  4 Hg 2.86
In 0.3750 0.6250 0.7500  4 Hg 2.86
In 0.5000 0.0000 0.0000  6 Hg 3.00
In 0.5000 0.0000 0.5000  6 Hg 3.00
In 0.5000 0.5000 0.0000  6 Hg 3.00
In 0.5000 0.5000 0.5000  6 Hg 3.00
In 0.6250 0.3750 0.2500  4 Hg 2.86
In 0.6250 0.7500 0.3750  4 Hg 2.86
In 0.7500 0.3750 0.6250  4 Hg 2.86
In 0.7500 0.8750 0.1250  4 Hg 2.86
In 0.8750 0.1250 0.7500  4 Hg 2.86
In 0.8750 0.2500 0.1250  4 Hg 2.86
Sn 0.1250 0.2500 0.3750  8 Hg 2.98-3.26
Sn 0.1250 0.3750 0.7500  8 Hg 2.98-3.26
Sn 0.2500 0.3750 0.1250  8 Hg 2.98-3.26
Sn 0.2500 0.8750 0.6250  8 Hg 2.98-3.26
Sn 0.3750 0.1250 0.2500  8 Hg 2.98-3.26
Sn 0.3750 0.7500 0.1250  8 Hg 2.98-3.26
Sn 0.6250 0.2500 0.8750  8 Hg 2.98-3.26
Sn 0.6250 0.8750 0.7500  8 Hg 2.98-3.26
Sn 0.7500 0.1250 0.3750  8 Hg 2.98-3.26
Sn 0.7500 0.6250 0.8750  8 Hg 2.98-3.26
Sn 0.8750 0.6250 0.2500  8 Hg 2.98-3.26
Sn 0.8750 0.7500 0.6250  8 Hg 2.98-3.26
Hg 0.0639 0.2337 0.1372  2 In 2.86-3.00, 1 Sn 2.98, 1 Hg 3.15
Hg 0.0639 0.3301 0.9266  2 In 2.86-3.00, 1 Sn 2.98, 1 Hg 3.15
Hg 0.0734 0.6372 0.4035  2 In 2.86-3.00, 1 Sn 2.98, 1 Hg 3.15
Hg 0.0734 0.9361 0.6699  2 In 2.86-3.00, 1 Sn 2.98, 1 Hg 3.15
Hg 0.0965 0.7337 0.6699  2 In 2.86-3.00, 1 Sn 2.98, 1 Hg 3.15
Hg 0.0965 0.8628 0.4266  2 In 2.86-3.00, 1 Sn 2.98, 1 Hg 3.15
Hg 0.1372 0.0639 0.2337  2 In 2.86-3.00, 1 Sn 2.98, 1 Hg 3.15
Hg 0.1372 0.5734 0.9035  2 In 2.86-3.00, 1 Sn 2.98, 1 Hg 3.15
Hg 0.1699 0.2337 0.5965  2 In 2.86-3.00, 1 Sn 2.98, 1 Hg 3.15
Hg 0.1699 0.4361 0.5734  2 In 2.86-3.00, 1 Sn 2.98, 1 Hg 3.15
Hg 0.2337 0.1372 0.0639  2 In 2.86-3.00, 1 Sn 2.98, 1 Hg 3.15
Hg 0.2337 0.5965 0.1699  2 In 2.86-3.00, 1 Sn 2.98, 1 Hg 3.15
Hg 0.2663 0.3301 0.9035  2 In 2.86-3.00, 1 Sn 2.98, 1 Hg 3.15
Hg 0.2663 0.4361 0.3628  2 In 2.86-3.00, 1 Sn 2.98, 1 Hg 3.15
Hg 0.3301 0.9035 0.2663  2 In 2.86-3.00, 1 Sn 2.98, 1 Hg 3.15
Hg 0.3301 0.9266 0.0639  2 In 2.86-3.00, 1 Sn 2.98, 1 Hg 3.15
Hg 0.3628 0.2663 0.4361  2 In 2.86-3.00, 1 Sn 2.98, 1 Hg 3.15
Hg 0.3628 0.5965 0.9266  2 In 2.86-3.00, 1 Sn 2.98, 1 Hg 3.15
Hg 0.4035 0.0734 0.6372  2 In 2.86-3.00, 1 Sn 2.98, 1 Hg 3.15
Hg 0.4035 0.8301 0.7663  2 In 2.86-3.00, 1 Sn 2.98, 1 Hg 3.15
Hg 0.4266 0.0965 0.8628  2 In 2.86-3.00, 1 Sn 2.98, 1 Hg 3.15
Hg 0.4266 0.8301 0.5639  2 In 2.86-3.00, 1 Sn 2.98, 1 Hg 3.15
Hg 0.4361 0.3628 0.2663  2 In 2.86-3.00, 1 Sn 2.98, 1 Hg 3.15
Hg 0.4361 0.5734 0.1699  2 In 2.86-3.00, 1 Sn 2.98, 1 Hg 3.15
Hg 0.5639 0.4266 0.8301  2 In 2.86-3.00, 1 Sn 2.98, 1 Hg 3.15
Hg 0.5639 0.6372 0.7337  2 In 2.86-3.00, 1 Sn 2.98, 1 Hg 3.15
Hg 0.5734 0.1699 0.4361  2 In 2.86-3.00, 1 Sn 2.98, 1 Hg 3.15
Hg 0.5734 0.9035 0.1372  2 In 2.86-3.00, 1 Sn 2.98, 1 Hg 3.15
Hg 0.5965 0.1699 0.2337  2 In 2.86-3.00, 1 Sn 2.98, 1 Hg 3.15
Hg 0.5965 0.9266 0.3628  2 In 2.86-3.00, 1 Sn 2.98, 1 Hg 3.15
Hg 0.6372 0.4035 0.0734  2 In 2.86-3.00, 1 Sn 2.98, 1 Hg 3.15
Hg 0.6372 0.7337 0.5639  2 In 2.86-3.00, 1 Sn 2.98, 1 Hg 3.15
Hg 0.6699 0.0734 0.9361  2 In 2.86-3.00, 1 Sn 2.98, 1 Hg 3.15
Hg 0.6699 0.0965 0.7337  2 In 2.86-3.00, 1 Sn 2.98, 1 Hg 3.15
Hg 0.7337 0.5639 0.6372  2 In 2.86-3.00, 1 Sn 2.98, 1 Hg 3.15
Hg 0.7337 0.6699 0.0965  2 In 2.86-3.00, 1 Sn 2.98, 1 Hg 3.15
Hg 0.7663 0.4035 0.8301  2 In 2.86-3.00, 1 Sn 2.98, 1 Hg 3.15
Hg 0.7663 0.8628 0.9361  2 In 2.86-3.00, 1 Sn 2.98, 1 Hg 3.15
Hg 0.8301 0.5639 0.4266  2 In 2.86-3.00, 1 Sn 2.98, 1 Hg 3.15
Hg 0.8301 0.7663 0.4035  2 In 2.86-3.00, 1 Sn 2.98, 1 Hg 3.15
Hg 0.8628 0.4266 0.0965  2 In 2.86-3.00, 1 Sn 2.98, 1 Hg 3.15
Hg 0.8628 0.9361 0.7663  2 In 2.86-3.00, 1 Sn 2.98, 1 Hg 3.15
Hg 0.9035 0.1372 0.5734  2 In 2.86-3.00, 1 Sn 2.98, 1 Hg 3.15
Hg 0.9035 0.2663 0.3301  2 In 2.86-3.00, 1 Sn 2.98, 1 Hg 3.15
Hg 0.9266 0.0639 0.3301  2 In 2.86-3.00, 1 Sn 2.98, 1 Hg 3.15
Hg 0.9266 0.3628 0.5965  2 In 2.86-3.00, 1 Sn 2.98, 1 Hg 3.15
Hg 0.9361 0.6699 0.0734  2 In 2.86-3.00, 1 Sn 2.98, 1 Hg 3.15
Hg 0.9361 0.7663 0.8628  2 In 2.86-3.00, 1 Sn 2.98, 1 Hg 3.15

DOS(E_F)	42.0	states/eV/cell
formation energy from the elements	0.1378	eV per atom

6.
Computed, not measured: CuBrF3 after structural relaxation at the GGA-PBE level of DFT.

Lattice parameters (Å, degrees): 4.0785 4.0785 4.0785 90.00 90.00 90.00
Last column: nearest neighbours and their distance in Å.
Positions (direct):
Cu 0.0000 0.0000 0.0000  6 F 2.04
Br 0.5000 0.5000 0.5000  12 F 2.88
F 0.0000 0.0000 0.5000  2 Cu 2.04
F 0.0000 0.5000 0.0000  2 Cu 2.04
F 0.5000 0.0000 0.0000  2 Cu 2.04

DOS(E_F)	4.0	states/eV/cell
raw formation energy	-774	meV per atom
distance to the lowest polymorph of the same formula	103.3	meV per atom

Copy entry 2 word for word.
Computed, not measured: CdCo2TcIr after structural relaxation at the GGA-PBE level of DFT.

Lattice parameters (Å, degrees): 4.5946 4.5946 4.6803 90.00 90.00 90.00
Last column: nearest neighbours and their distance in Å.
Positions (direct):
Cd 0.0000 0.0000 0.0000  4 Tc 3.25, 8 Co 3.28
Co 0.0000 0.5000 0.5000  2 Ir 2.30
Co 0.5000 0.0000 0.5000  2 Ir 2.30
Tc 0.5000 0.5000 0.0000  2 Ir 2.34
Ir 0.5000 0.5000 0.5000  4 Co 2.30, 2 Tc 2.34

DOS(E_F)	8.0	states/eV/cell
formation energy from the elements	1.2707	eV per atom